# 1
LaNd6Dy2Y: optimized geometry, PBE-GGA.

Cell lengths 9.2831, 15.4462, 9.8102 Å; angles 90.00, 98.02, 90.00 degrees
Space group C2/c (No. 15)
Symmetry-distinct sites (fractional):
La  0.0000  0.0939  0.2500 [4 per cell]
Nd  0.0634  0.3232  0.4455 [8 per cell]
Nd  0.0998  0.1067  0.6207 [8 per cell]
Nd  0.2064  0.2733  0.8175 [8 per cell]
Dy  0.2438  0.4504  0.0451 [8 per cell]
Y  0.0000  0.4710  0.7500 [4 per cell]

The total magnetization comes out at 0.00 μB per formula unit. The calculation puts the formation energy at 1.121 eV/f.u. The value obtained for the total DFT energy (no corrections) is -4.8082 eV per atom.

# 2
LaNd2Dy2Y2: optimized geometry, PBE-GGA.

Cell lengths 11.8869, 3.5473, 11.9326 Å; angles 90.00, 108.34, 90.00 degrees
Space group C2/m (No. 12)
Symmetry-distinct sites (fractional):
La  0.0000  0.0000  0.0000 [2 per cell]
Nd  0.1722  0.5000  0.5846 [4 per cell]
Dy  0.2251  0.0000  0.8617 [4 per cell]
Y  0.0500  0.5000  0.2741 [4 per cell]

The total magnetization comes out at 0.00 μB per formula unit. The calculation puts the formation energy at 0.631 eV/f.u. The value obtained for the total DFT energy (no corrections) is -5.1378 eV per atom.

# 3
La2Nd4DyY2: optimized geometry, PBE-GGA.

Cell lengths 19.1174, 3.6952, 9.7958 Å; angles 90.00, 115.69, 90.00 degrees
Space group C2/m (No. 12)
Symmetry-distinct sites (fractional):
La  0.1654  0.0000  0.9997 [4 per cell]
Nd  0.0186  0.0000  0.3343 [4 per cell]
Nd  0.1856  0.5000  0.3340 [4 per cell]
Dy  0.0000  0.5000  0.0000 [2 per cell]
Y  0.1474  0.5000  0.6657 [4 per cell]

The total magnetization comes out at 0.00 μB per formula unit. The calculation puts the formation energy at 0.048 eV/f.u. The value obtained for the total DFT energy (no corrections) is -5.1565 eV per atom.

# 4
LaNd2DyY: optimized geometry, PBE-GGA.

Cell lengths 8.2672, 6.8504, 6.2512 Å; angles 90.00, 91.31, 90.00 degrees
Space group P2/c (No. 13)
Symmetry-distinct sites (fractional):
La  0.0000  0.0000  0.0000 [2 per cell]
Nd  0.3061  0.3116  0.2426 [4 per cell]
Dy  0.5000  0.1566  0.7500 [2 per cell]
Y  0.0000  0.4199  0.7500 [2 per cell]

The total magnetization comes out at 0.00 μB per formula unit. The calculation puts the formation energy at 1.398 eV/f.u. The value obtained for the total DFT energy (no corrections) is -4.8262 eV per atom.

D(E_F)? In order: 1.49 1.77 1.42 1.44 states/eV per atom.